1.
Material: Er2Tl3
Method: DFT, PBE
State: optimized geometry

The space group is Pnma (No. 62) and the conventional cell measures 12.629, 3.715 and 12.073 Å, with angles of 90.00, 90.00 and 90.00 degrees. The inequivalent atoms are Er at (0.009, 0.250, 0.143), Er at (0.138, 0.250, 0.549), Tl at (0.081, 0.750, 0.341), Tl at (0.174, 0.250, 0.955) and Tl at (0.233, 0.750, 0.741).

Its formation energy is -0.186 eV/atom. The density is 11112 kg/m3. The excess energy over the best structure of this formula in the dataset comes out at 42 meV/atom. The calculation puts the electronic total energy at -3.43 eV per atom. As for the density of states at the Fermi level: 2.36 states/eV/f.u.

---

2.
Material: ErTl
Method: DFT, PBE
State: optimized geometry

The space group is P2_1/m (No. 11) and the conventional cell measures 4.583, 4.302 and 6.124 Å, with angles of 90.00, 111.09 and 90.00 degrees. The inequivalent atoms are Er at (0.112, 0.250, 0.265) and Tl at (0.429, 0.250, 0.808).

Its formation energy is -0.283 eV/atom. The density is 10958 kg/m3. The calculation puts the electronic total energy at -3.75 eV per atom. As for the density of states at the Fermi level: 1.47 states/eV/f.u.

---

3.
Material: Er7Tl3
Method: DFT, PBE
State: optimized geometry

The space group is P6_3mc (No. 186) and the conventional cell measures 10.4158, 10.4158 and 6.3723 Å, with angles of 90.00, 90.00 and 120.00 degrees. The inequivalent atoms are Er at (0.0606, 0.5303, 0.0000), Er at (0.1312, 0.2624, 0.7435), Er at (0.3333, 0.6667, 0.5630) and Tl at (0.1907, 0.3814, 0.2852).

Its formation energy is -0.168 eV/atom. The density is 9896 kg/m3. The calculation puts the electronic total energy at -4.07 eV per atom. As for the density of states at the Fermi level: 10.82 states/eV/f.u.

---

4.
Material: Er8Tl3
Method: DFT, PBE
State: optimized geometry

The space group is R-3 (No. 148, hexagonal axes) and the conventional cell measures 9.9204, 9.9204 and 12.5997 Å, with angles of 90.00, 90.00 and 120.00 degrees. The inequivalent atoms are Er at (0.0000, 0.0000, 0.1485), Er at (0.0296, 0.2313, 0.6127) and Tl at (0.0000, 0.5000, 0.5000).

Its formation energy is 0.121 eV/atom. The density is 9052 kg/m3. The calculation puts the electronic total energy at -3.84 eV per atom. As for the density of states at the Fermi level: 17.54 states/eV/f.u.